[1]
The following is a PBE calculation of crystalline CrRuPt at its relaxed geometry, from Alexandria.

## Properties
**Space group**: No. 44
**Total magnetic moment**: 0.000 μB per formula unit
**Excess energy over the best structure of this formula in the dataset**: 0.17 eV per formula unit

```
CrRuPt
1.0
4.726 0.008 -0.006
2.476 4.026 0.006
-3.237 -2.668 2.178
Ru Cr Pt
1 1 1
direct
0.655 0.655 0.000 Ru
0.010 0.010 0.000 Cr
0.335 0.335 0.000 Pt
```

=====

[2]
The following is a PBE calculation of crystalline Ho5Er at its relaxed geometry, from Alexandria.

## Properties
**Space group**: No. 65
**Total magnetic moment**: 0.000 μB per formula unit
**Excess energy over the best structure of this formula in the dataset**: 0.11 eV per formula unit

```
Ho5Er
1.0
4.963 0.000 0.000
0.000 4.967 0.000
0.000 -2.483 7.456
Ho Er
5 1
direct
0.000 0.667 0.333 Ho
0.500 0.167 0.333 Ho
0.000 0.333 0.667 Ho
0.500 0.500 0.000 Ho
0.500 0.833 0.667 Ho
0.000 0.000 0.000 Er
```